# 1
Below is a relaxed CuSnAs crystal, with properties calculated at the GGA-PBE level.

extended XYZ file:
```
3
Lattice="0.0000 3.1474 3.1474 3.1474 0.0000 3.1474 3.1474 3.1474 0.0000" Properties=species:S:1:pos:R:3 pbc="T T T"
As 1.5737 1.5737 1.5737
Cu 0.0000 0.0000 0.0000
Sn 4.7210 4.7210 4.7210
```

Results
ρ (g/cm3): 6.85
Energy above the lowest structure with this stoichiometry (meV/atom): 0

=====

# 2
Below is a relaxed CuSnAs2 crystal, with properties calculated at the GGA-PBE level.

extended XYZ file:
```
4
Lattice="0.0000 3.3748 3.3748 3.3748 0.0000 3.3748 3.3748 3.3748 0.0000" Properties=species:S:1:pos:R:3 pbc="T T T"
As 0.0000 0.0000 0.0000
As 5.0622 5.0622 5.0622
Cu 1.6874 1.6874 1.6874
Sn 3.3748 3.3748 3.3748
```

Results
Electronic total energy (eV per atom): -3.89
ρ (g/cm3): 7.17

=====

# 3
Below is a relaxed CuSn2As crystal, with properties calculated at the GGA-PBE level.

extended XYZ file:
```
4
Lattice="0.0000 3.5146 3.5146 3.5146 0.0000 3.5146 3.5146 3.5146 0.0000" Properties=species:S:1:pos:R:3 pbc="T T T"
As 3.5146 3.5146 3.5146
Cu 1.7573 1.7573 1.7573
Sn 0.0000 0.0000 0.0000
Sn 5.2719 5.2719 5.2719
```

Results
Electronic total energy (eV per atom): -3.75
ρ (g/cm3): 7.19

=====

# 4
Below is a relaxed ZnCuSn2As4 crystal, with properties calculated at the GGA-PBE level.

extended XYZ file:
```
8
Lattice="-2.9351 2.9351 5.8915 2.9351 -2.9351 5.8915 2.9351 2.9351 -5.8915" Properties=species:S:1:pos:R:3 pbc="T T T"
As 1.6616 -1.5100 4.4599
As 1.4250 1.2734 1.4316
As 1.5100 1.6616 7.3231
As 1.2734 4.4451 -1.4316
Cu 0.0000 0.0000 0.0000
Sn 0.0000 0.0000 5.8915
Sn 0.0000 2.9351 2.9458
Zn 2.9351 0.0000 2.9458
```

Results
Electronic total energy (eV per atom): -4.04
ρ (g/cm3): 5.45

=====

# 5
Below is a relaxed SrCuAs crystal, with properties calculated at the GGA-PBE level.

extended XYZ file:
```
6
Lattice="5.1369 0.0000 0.0000 -2.5685 4.4487 0.0000 0.0000 0.0000 6.1172" Properties=species:S:1:pos:R:3 pbc="T T T"
As 0.0000 2.9658 1.5293
As 2.5685 1.4829 4.5879
Cu 0.0000 0.0000 0.0000
Cu 0.0000 0.0000 3.0586
Sr 2.5685 1.4829 1.5293
Sr 0.0000 2.9658 4.5879
```

Results
Electronic total energy (eV per atom): -3.59
ρ (g/cm3): 5.37

=====

# 6
Below is a relaxed SrCuAs crystal, with properties calculated at the GGA-PBE level.

extended XYZ file:
```
6
Lattice="-2.1378 3.1810 -1.8958 -1.3907 -4.0267 -0.3663 -4.7706 1.0049 7.0655" Properties=species:S:1:pos:R:3 pbc="T T T"
As -3.0814 1.0296 0.3804
As -5.2177 -0.8705 4.4230
Cu -2.8324 -1.3730 0.8902
Cu -5.4667 1.5320 3.9131
Sr 0.0000 0.0000 0.0000
Sr -2.3853 0.5024 3.5327
```

Results
Electronic total energy (eV per atom): -4.17
ρ (g/cm3): 5.52

=====

# 7
Below is a relaxed SrCuAs2 crystal, with properties calculated at the GGA-PBE level.

extended XYZ file:
```
4
Lattice="0.0000 3.5153 3.5153 3.5153 0.0000 3.5153 3.5153 3.5153 0.0000" Properties=species:S:1:pos:R:3 pbc="T T T"
As 0.0000 0.0000 0.0000
As 5.2730 5.2730 5.2730
Cu 1.7577 1.7577 1.7577
Sr 3.5153 3.5153 3.5153
```

Results
Electronic total energy (eV per atom): -3.70
ρ (g/cm3): 5.75

=====

# 8
Below is a relaxed SrCu2As2 crystal, with properties calculated at the GGA-PBE level.

extended XYZ file:
```
5
Lattice="-1.8791 2.7647 5.2167 -5.9088 1.5534 1.0305 3.4109 -4.8148 -1.8901" Properties=species:S:1:pos:R:3 pbc="T T T"
As -2.9054 1.6109 2.3306
As -4.8826 2.7072 3.9166
Cu -1.1811 0.0545 3.2251
Cu -3.1959 -0.5512 1.1320
Sr 0.0000 0.0000 0.0000
```

Results
Electronic total energy (eV per atom): -4.20
ρ (g/cm3): 6.32